[1]
VASP calculation (GGA-PBE) on a geometry-optimized Be2ZnBr structure.

Values from the calculation:
Energy above the most stable polymorph in this dataset (eV per atom): 0.626
Uncorrected energy (eV/cell): -15.5

abc: 3.0634 5.7718 7.5966
angles: 90.00 90.00 90.00
Closest atoms and distances in Å follow each position.
Space group Immm (No. 71)
Asymmetric unit:
Be 0.0000 0.0000 0.2470 (multiplicity 4)  2 Zn 2.42, 2 Br 2.46
Zn 0.0000 0.5000 0.5000 (multiplicity 2)  4 Be 2.42
Br 0.0000 0.5000 0.0000 (multiplicity 2)  4 Be 2.46

***

[2]
VASP calculation (GGA-PBE) on a geometry-optimized Be2ZnBr structure.

Values from the calculation:
Energy above the most stable polymorph in this dataset (eV per atom): 0.037
Uncorrected energy (eV/cell): -20.2

abc: 6.8214 3.9317 6.4301
angles: 90.00 121.22 90.00
Closest atoms and distances in Å follow each position.
Space group Cm (No. 8)
Asymmetric unit:
Be 0.0000 0.0000 0.0000 (multiplicity 2)  3 Be 2.23-2.29, 1 Br 2.32, 3 Zn 2.34-2.38
Be 0.1729 0.5000 0.9991 (multiplicity 2)  3 Be 2.23-2.29, 1 Br 2.33, 3 Zn 2.34-2.38
Zn 0.2812 0.0000 0.8867 (multiplicity 2)  6 Be 2.34-2.38
Br 0.0190 0.0000 0.3710 (multiplicity 2)  2 Be 2.32-2.33

***

[3]
VASP calculation (GGA-PBE) on a geometry-optimized ZrBeBr2 structure.

Values from the calculation:
Energy above the most stable polymorph in this dataset (eV per atom): 0.626
Uncorrected energy (eV/cell): -15.2

abc: 3.4362 4.6233 5.5031
angles: 90.00 92.54 90.00
Closest atoms and distances in Å follow each position.
Space group P2/m (No. 10)
Asymmetric unit:
Zr 0.0000 0.0000 0.0000 (multiplicity 1)  4 Br 2.78
Be 0.5000 0.0000 0.5000 (multiplicity 1)  4 Br 2.83
Br 0.2231 0.5000 0.2510 (multiplicity 2)  2 Zr 2.78, 2 Be 2.83, 1 Br 3.10

***

[4]
VASP calculation (GGA-PBE) on a geometry-optimized ZrBe2Br structure.

Values from the calculation:
Energy above the most stable polymorph in this dataset (eV per atom): 0.293
Uncorrected energy (eV/cell): -32.2

abc: 9.7072 3.2068 4.9177
angles: 90.00 98.65 90.00
Closest atoms and distances in Å follow each position.
Space group C2/m (No. 12)
Asymmetric unit:
Zr 0.0000 0.0000 0.0000 (multiplicity 2)  6 Be 2.75-2.76, 4 Br 2.94
Be 0.2131 0.5000 0.8831 (multiplicity 4)  2 Be 2.04
Br 0.0000 0.5000 0.5000 (multiplicity 2)  2 Be 2.58

***

no.,M_tot (μB/atom)
1,0.00
2,0.00
3,0.00
4,0.00